[1]
LiErScZn | PBE | relaxed

Space-group type ... F-43m
Formation energy from the elements ... -10.51 kJ/mol of atoms

abc: 4.930 4.930 4.930
angles: 60.00 60.00 60.00
Atoms (fractional coordinates):
Sc (0.250, 0.250, 0.250)
Er (0.750, 0.750, 0.750)
Zn (0.000, 0.000, 0.000)
Li (0.500, 0.500, 0.500)


[2]
LiErSe2 | PBE | relaxed

Space-group type ... P6_3/mmc
Energy relative to the elements, uncorrected ... -159 kJ/mol of atoms

abc: 4.018 4.018 13.620
angles: 90.00 90.00 120.00
Atoms (fractional coordinates):
Li (0.667, 0.333, 0.250)
Se (0.667, 0.333, 0.620)
Li (0.333, 0.667, 0.750)
Er (0.000, 0.000, 0.000)
Se (0.333, 0.667, 0.380)
Se (0.667, 0.333, 0.880)
Se (0.333, 0.667, 0.120)
Er (0.000, 0.000, 0.500)


[3]
LiErSe2 | PBE | relaxed

Space-group type ... R-3m
Energy relative to the elements, uncorrected ... -164 kJ/mol of atoms

abc: 6.895 6.895 6.895
angles: 34.05 34.05 34.05
Atoms (fractional coordinates):
Er (0.000, 0.000, 0.000)
Li (0.500, 0.500, 0.500)
Se (0.250, 0.250, 0.250)
Se (0.750, 0.750, 0.750)


[4]
LiErSe2 | PBE | relaxed

Space-group type ... P4/mmm
Energy relative to the elements, uncorrected ... -155 kJ/mol of atoms

abc: 4.057 4.057 5.529
angles: 90.00 90.00 90.00
Atoms (fractional coordinates):
Se (0.000, 0.000, 0.500)
Li (0.000, 0.000, 0.000)
Er (0.500, 0.500, 0.500)
Se (0.500, 0.500, 0.000)


[5]
Li5ErSe4 | PBE | relaxed

Space-group type ... Immm
Energy relative to the elements, uncorrected ... -135 kJ/mol of atoms

abc: 4.072 7.456 8.186
angles: 117.09 104.40 90.00
Atoms (fractional coordinates):
Se (0.709, 0.209, 0.419)
Li (0.179, 0.387, 0.357)
Se (0.291, 0.791, 0.581)
Se (0.000, 0.736, 0.000)
Se (0.000, 0.264, 0.000)
Li (0.179, 0.970, 0.357)
Li (0.821, 0.030, 0.643)
Li (0.500, 0.500, 0.000)
Er (0.500, 0.000, 0.000)
Li (0.821, 0.613, 0.643)


[6]
Li8ErSe6 | PBE | relaxed

Space-group type ... R-3
Energy relative to the elements, uncorrected ... -122 kJ/mol of atoms

abc: 7.202 7.202 7.825
angles: 62.60 62.60 60.00
Atoms (fractional coordinates):
Se (0.916, 0.249, 0.240)
Se (0.595, 0.916, 0.240)
Li (0.665, 0.665, 0.006)
Li (0.533, 0.218, 0.365)
Li (0.782, 0.116, 0.635)
Li (0.116, 0.467, 0.635)
Se (0.405, 0.084, 0.760)
Li (0.335, 0.335, 0.994)
Se (0.249, 0.595, 0.240)
Se (0.751, 0.405, 0.760)
Se (0.084, 0.751, 0.760)
Li (0.218, 0.884, 0.365)
Li (0.467, 0.782, 0.635)
Er (0.000, 0.000, 0.000)
Li (0.884, 0.533, 0.365)


[7]
LiEr6Se5 | PBE | relaxed

Space-group type ... P6_3/mcm
Energy relative to the elements, uncorrected ... -129 kJ/mol of atoms

abc: 6.751 6.751 14.162
angles: 90.00 90.00 120.00
Atoms (fractional coordinates):
Er (0.324, 0.324, 0.386)
Er (0.324, 0.000, 0.886)
Er (0.676, 0.676, 0.614)
Er (0.000, 0.676, 0.114)
Li (0.000, 0.000, 0.250)
Er (0.000, 0.676, 0.386)
Er (0.676, 0.676, 0.886)
Er (0.324, 0.324, 0.114)
Se (0.649, 0.649, 0.250)
Se (0.667, 0.333, 0.500)
Se (0.649, 0.000, 0.750)
Er (0.000, 0.324, 0.886)
Se (0.000, 0.649, 0.750)
Er (0.676, 0.000, 0.114)
Se (0.000, 0.351, 0.250)
Se (0.351, 0.000, 0.250)
Er (0.000, 0.324, 0.614)
Er (0.676, 0.000, 0.386)
Se (0.351, 0.351, 0.750)
Se (0.333, 0.667, 0.500)
Li (0.000, 0.000, 0.750)
Se (0.667, 0.333, 0.000)
Er (0.324, 0.000, 0.614)
Se (0.333, 0.667, 0.000)


[8]
LiEr2Se | PBE | relaxed

Space-group type ... R-3m
Energy relative to the elements, uncorrected ... -50 kJ/mol of atoms

abc: 3.691 3.691 10.296
angles: 79.67 79.67 60.00
Atoms (fractional coordinates):
Li (0.000, 0.000, 0.000)
Er (0.893, 0.893, 0.321)
Er (0.107, 0.107, 0.679)
Se (0.500, 0.500, 0.500)


[9]
LiEr4Se5 | PBE | relaxed

Space-group type ... I4
Energy relative to the elements, uncorrected ... -165 kJ/mol of atoms

abc: 5.670 6.955 6.955
angles: 80.44 65.95 65.95
Atoms (fractional coordinates):
Er (0.401, 0.400, 0.800)
Li (0.003, 0.000, 0.000)
Se (0.501, 0.000, 0.000)
Er (0.201, 0.200, 0.400)
Se (0.709, 0.196, 0.388)
Se (0.097, 0.612, 0.196)
Se (0.293, 0.804, 0.612)
Se (0.905, 0.388, 0.804)
Er (0.801, 0.800, 0.600)
Er (0.601, 0.600, 0.200)


[10]
LiEr6Se8 | PBE | relaxed

Space-group type ... Fm-3m
Energy relative to the elements, uncorrected ... -170 kJ/mol of atoms

abc: 8.028 8.028 8.028
angles: 60.00 60.00 60.00
Atoms (fractional coordinates):
Se (0.248, 0.752, 0.752)
Se (0.750, 0.750, 0.750)
Se (0.248, 0.248, 0.752)
Se (0.248, 0.752, 0.248)
Er (0.500, 0.000, 0.000)
Li (0.000, 0.000, 0.000)
Er (0.500, 0.000, 0.500)
Er (0.000, 0.000, 0.500)
Se (0.752, 0.248, 0.248)
Er (0.000, 0.500, 0.500)
Er (0.000, 0.500, 0.000)
Se (0.752, 0.248, 0.752)
Er (0.500, 0.500, 0.000)
Se (0.752, 0.752, 0.248)
Se (0.250, 0.250, 0.250)


[11]
LiErSe2 | PBE | relaxed

Space-group type ... R3m
Energy relative to the elements, uncorrected ... -153 kJ/mol of atoms

abc: 3.928 3.928 7.205
angles: 74.18 74.18 60.00
Atoms (fractional coordinates):
Er (0.499, 0.499, 0.503)
Se (0.080, 0.080, 0.760)
Se (0.251, 0.251, 0.247)
Li (0.670, 0.670, 0.990)


[12]
LiErSe2 | PBE | relaxed

Space-group type ... I4_1/amd
Energy relative to the elements, uncorrected ... -162 kJ/mol of atoms

abc: 7.019 7.019 7.019
angles: 132.55 132.55 69.36
Atoms (fractional coordinates):
Se (0.495, 0.995, 0.500)
Se (0.255, 0.255, 0.000)
Se (0.745, 0.745, 0.000)
Se (0.005, 0.505, 0.500)
Er (0.250, 0.750, 0.500)
Li (0.000, 0.000, 0.000)
Er (0.500, 0.500, 0.000)
Li (0.750, 0.250, 0.500)


[13]
Li3ErSe3 | PBE | relaxed

Space-group type ... R-3
Energy relative to the elements, uncorrected ... -144 kJ/mol of atoms

abc: 7.310 7.310 7.913
angles: 62.49 62.49 60.00
Atoms (fractional coordinates):
Li (0.871, 0.582, 0.361)
Se (0.553, 0.922, 0.246)
Se (0.278, 0.553, 0.246)
Se (0.922, 0.278, 0.246)
Se (0.078, 0.722, 0.754)
Se (0.722, 0.447, 0.754)
Li (0.129, 0.418, 0.639)
Li (0.418, 0.814, 0.639)
Li (0.582, 0.186, 0.361)
Li (0.186, 0.871, 0.361)
Er (0.334, 0.334, 0.998)
Li (0.814, 0.129, 0.639)
Se (0.447, 0.078, 0.754)
Er (0.666, 0.666, 0.002)


[14]
LiSm4Er3Se8 | PBE | relaxed

Space-group type ... R-3m
Energy relative to the elements, uncorrected ... -169 kJ/mol of atoms

abc: 8.155 8.225 8.156
angles: 119.72 120.00 90.00
Atoms (fractional coordinates):
Se (0.242, 0.733, 0.483)
Sm (0.500, 0.000, 0.500)
Se (0.758, 0.267, 0.517)
Er (0.500, 0.500, 0.000)
Se (0.254, 0.262, 0.508)
Sm (0.500, 0.000, 0.000)
Se (0.746, 0.738, 0.492)
Er (0.500, 0.500, 0.500)
Sm (0.000, 0.000, 0.500)
Se (0.758, 0.267, 0.008)
Se (0.250, 0.267, 0.008)
Li (0.000, 0.500, 0.000)
Se (0.750, 0.733, 0.992)
Se (0.242, 0.733, 0.992)
Sm (0.000, 0.000, 0.000)
Er (0.000, 0.500, 0.500)


[15]
LiSm3Er2Se6 | PBE | relaxed

Space-group type ... C2/m
Energy relative to the elements, uncorrected ... -170 kJ/mol of atoms

abc: 7.051 7.051 7.146
angles: 99.49 99.49 120.12
Atoms (fractional coordinates):
Se (0.922, 0.596, 0.766)
Se (0.404, 0.078, 0.234)
Se (0.596, 0.922, 0.766)
Sm (0.166, 0.834, 0.500)
Li (0.000, 0.000, 0.000)
Se (0.247, 0.247, 0.768)
Er (0.665, 0.335, 0.000)
Er (0.335, 0.665, 0.000)
Se (0.078, 0.404, 0.234)
Sm (0.834, 0.166, 0.500)
Sm (0.500, 0.500, 0.500)
Se (0.753, 0.753, 0.232)


[16]
Li4SmEr3Se8 | PBE | relaxed

Space-group type ... R-3m
Energy relative to the elements, uncorrected ... -163 kJ/mol of atoms

abc: 8.135 8.019 8.134
angles: 120.50 120.00 90.00
Atoms (fractional coordinates):
Se (0.255, 0.754, 0.509)
Sm (0.000, 0.500, 0.000)
Se (0.745, 0.754, 0.999)
Se (0.250, 0.249, 0.499)
Er (0.500, 0.500, 0.500)
Se (0.750, 0.751, 0.501)
Li (0.000, 0.000, 0.500)
Se (0.745, 0.246, 0.491)
Er (0.500, 0.500, 0.000)
Er (0.000, 0.500, 0.500)
Se (0.255, 0.246, 0.001)
Se (0.745, 0.246, 0.001)
Li (0.500, 0.000, 0.500)
Li (0.000, 0.000, 0.000)
Li (0.500, 0.000, 0.000)
Se (0.255, 0.754, 0.999)


[17]
Li3Sm2ErSe6 | PBE | relaxed

Space-group type ... C2/m
Energy relative to the elements, uncorrected ... -162 kJ/mol of atoms

abc: 7.132 7.132 6.930
angles: 99.87 99.87 120.01
Atoms (fractional coordinates):
Se (0.915, 0.589, 0.744)
Se (0.589, 0.915, 0.744)
Er (0.000, 0.000, 0.000)
Li (0.835, 0.165, 0.500)
Se (0.241, 0.241, 0.746)
Se (0.411, 0.085, 0.256)
Se (0.085, 0.411, 0.256)
Sm (0.333, 0.667, 0.000)
Li (0.500, 0.500, 0.500)
Li (0.165, 0.835, 0.500)
Sm (0.667, 0.333, 0.000)
Se (0.759, 0.759, 0.254)


[18]
LiSm2ErSe4 | PBE | relaxed

Space-group type ... P2/m
Energy relative to the elements, uncorrected ... -169 kJ/mol of atoms

abc: 4.083 7.064 7.100
angles: 109.27 90.00 90.00
Atoms (fractional coordinates):
Sm (0.000, 0.500, 0.500)
Se (0.000, 0.250, 0.765)
Se (0.500, 0.758, 0.765)
Sm (0.500, 0.000, 0.500)
Er (0.500, 0.500, 0.000)
Se (0.500, 0.242, 0.235)
Li (0.000, 0.000, 0.000)
Se (0.000, 0.750, 0.235)


[19]
Li2Sm3ErSe6 | PBE | relaxed

Space-group type ... C2/m
Energy relative to the elements, uncorrected ... -167 kJ/mol of atoms

abc: 7.078 7.078 7.069
angles: 99.60 99.60 120.00
Atoms (fractional coordinates):
Se (0.414, 0.078, 0.235)
Sm (0.833, 0.167, 0.500)
Er (0.000, 0.000, 0.000)
Se (0.257, 0.257, 0.764)
Se (0.743, 0.743, 0.236)
Sm (0.167, 0.833, 0.500)
Li (0.667, 0.333, 0.000)
Se (0.922, 0.586, 0.765)
Se (0.586, 0.922, 0.765)
Se (0.078, 0.414, 0.235)
Li (0.333, 0.667, 0.000)
Sm (0.500, 0.500, 0.500)


[20]
LiSm3Er3Se8 | PBE | relaxed

Space-group type ... R-3m
Energy relative to the elements, uncorrected ... -173 kJ/mol of atoms

abc: 8.139 8.138 8.180
angles: 119.84 90.00 120.00
Atoms (fractional coordinates):
Se (0.753, 0.007, 0.261)
Sm (0.000, 0.000, 0.000)
Se (0.247, 0.493, 0.739)
Sm (0.500, 0.500, 0.000)
Se (0.746, 0.493, 0.739)
Er (0.500, 0.000, 0.500)
Sm (0.000, 0.500, 0.000)
Li (0.000, 0.000, 0.500)
Se (0.254, 0.007, 0.261)
Se (0.746, 0.993, 0.739)
Er (0.000, 0.500, 0.500)
Se (0.247, 0.993, 0.739)
Er (0.500, 0.500, 0.500)
Se (0.254, 0.507, 0.261)
Se (0.753, 0.507, 0.261)


| no. | volume (Å³ per atom) | spin magnetization (μB/cell) |
| --- | --- | --- |
| 1 | 21.178 | 0.009 |
| 2 | 23.806 | 0.000 |
| 3 | 22.906 | 0.000 |
| 4 | 22.746 | 0.000 |
| 5 | 21.249 | 0.000 |
| 6 | 19.851 | 0.000 |
| 7 | 23.293 | 0.000 |
| 8 | 29.716 | 0.000 |
| 9 | 22.871 | 0.000 |
| 10 | 24.391 | 0.000 |
| 11 | 22.844 | 0.000 |
| 12 | 23.014 | 0.000 |
| 13 | 22.127 | 0.000 |
| 14 | 24.278 | 0.000 |
| 15 | 24.168 | 0.000 |
| 16 | 23.271 | 0.000 |
| 17 | 23.894 | 0.000 |
| 18 | 24.163 | 0.000 |
| 19 | 24.095 | 0.000 |
| 20 | 25.602 | 0.000 |